A plane-wave DFT calculation with PBE was carried out for a relaxed structure of B2O2F7. Values from VASP.

symmetry = C2/m, No. 12
raw formation energy = -1968 meV per atom
N(E_F) = 0.17 states/eV per atom

```
&SYSTEM
  ibrav = 0, nat = 11, ntyp = 3
/
ATOMIC_SPECIES
O 16.00 O.upf
F 19.00 F.upf
B 10.81 B.upf
CELL_PARAMETERS angstrom
7.9010 0.2470 3.2018
-0.6665 4.4705 -0.5620
4.4903 0.2470 7.2467
ATOMIC_POSITIONS angstrom
O 7.5176 0.2470 3.6565
F 2.9502 1.5105 3.9914
F 4.4323 1.5105 2.2337
F 8.7746 3.4541 5.8952
F 4.2202 3.3792 3.5585
B 3.8646 2.1327 3.2587
O 4.8737 0.2470 6.7920
F 7.2925 3.4541 7.6529
F -0.3332 2.2352 -0.2810
B 7.8602 2.8319 6.6279
F 7.5047 1.5854 6.3280
```